This record from Alexandria via LeMat-Bulk describes a crystal of AgSb2Ru relaxed with PBEsol. The functional is SCAN.

Cell: 3.181 3.181 7.944 Å, 90.00 90.00 90.00°
Positions (direct):
Sb 0.500 0.500 0.289
Sb 0.000 0.000 0.930
Ag 0.000 0.000 0.528
Ru 0.500 0.500 0.753

Summary:
Density of states at the Fermi level (states/eV per cell): 3.1
VASP energy (eV/cell): -139.79
SG: No. 99
Total magnetization (Bohr magnetons per cell): 0.00
Calculated volume (Å³ per atom): 20.093

***

This record from Alexandria via LeMat-Bulk describes a crystal of MoPb relaxed with PBEsol. The functional is SCAN.

Cell: 3.356 3.356 3.356 Å, 90.00 90.00 90.00°
Each line ends with the local moment (μB).
Positions (direct):
Mo 0.000 0.000 0.000  0.47
Pb 0.500 0.500 0.500  -0.02

Summary:
Density of states at the Fermi level (states/eV per cell): 2.3
SG: No. 221
Total magnetization (Bohr magnetons per cell): 0.47
Calculated volume (Å³ per atom): 18.894
Calculated formation energy (kJ/mol of formula units): 180